Entry 1:
KIn3I6 | PBE | optimized geometry

## Properties
Formation energy from raw total energies ... -645 meV per atom
Total moment ... 0.00 μB/f.u.
Theoretical density ... 4.426 g/cm³
Calculated total energy ... -2.506 eV/atom

Lattice parameters (Å, degrees): 7.8436 8.9744 12.2313 90.00 86.29 90.00
Closest atoms and distances in Å follow each position.
Element x y z (fractional)
K: 0.5000 0.5000 0.5000  6 I 3.49-3.60
K: 0.0000 0.0000 0.0000  6 I 3.49-3.60
I: 0.3561 0.7942 0.0680  1 In 2.97
I: 0.6436 0.4628 0.2214  1 In 3.02
I: 0.6831 0.1507 0.5764  1 In 2.93
I: 0.8169 0.6507 0.9236  1 In 2.93
I: 0.1439 0.2942 0.4320  1 In 2.97
I: 0.1831 0.3493 0.0764  1 In 2.93
I: 0.8564 0.9628 0.2786  1 In 3.02
I: 0.1436 0.0372 0.7214  1 In 3.02
I: 0.6439 0.2058 0.9320  1 In 2.97
I: 0.3564 0.5372 0.7786  1 In 3.02
I: 0.3169 0.8493 0.4236  1 In 2.93
I: 0.8561 0.7058 0.5680  1 In 2.97
In: 0.0487 0.6207 0.2743  6 I 3.42-3.72
In: 0.4513 0.1207 0.2257  6 I 3.42-3.72
In: 0.5000 0.5000 0.0000  6 I 2.93-3.02
In: 0.0000 0.0000 0.5000  6 I 2.93-3.02
In: 0.5487 0.8793 0.7743  6 I 3.42-3.72
In: 0.9513 0.3793 0.7257  6 I 3.42-3.72

***

Entry 2:
YPPdS2 | PBE | optimized geometry

## Properties
Formation energy from raw total energies ... -365 meV per atom
Total moment ... 0.00 μB/f.u.
Theoretical density ... 4.658 g/cm³
Calculated total energy ... -5.430 eV/atom
Fermi-level density of states ... 2.8 states/eV per cell

Lattice parameters (Å, degrees): 4.7487 4.7487 4.5917 90.00 90.00 90.00
Closest atoms and distances in Å follow each position.
Element x y z (fractional)
Pd: 0.0000 0.0000 0.0000  2 P 2.30, 4 S 2.37
S: 0.0000 0.5000 0.0000  2 Pd 2.37
S: 0.5000 0.0000 0.0000  2 Pd 2.37
P: 0.0000 0.0000 0.5000  2 Pd 2.30
Y: 0.5000 0.5000 0.5000  8 S 3.30, 4 P 3.36

***

Entry 3:
Y4ZnPd7 | PBE | optimized geometry

## Properties
Formation enthalpy at 0 K ... -62 kJ/mol of atoms
Total moment ... 0.00 μB/f.u.
Theoretical density ... 7.786 g/cm³
Calculated total energy ... -5.934 eV/atom
Fermi-level density of states ... 6.1 states/eV per cell

Lattice parameters (Å, degrees): 5.1262 9.4446 5.9275 80.47 64.38 74.25
Closest atoms and distances in Å follow each position.
Element x y z (fractional)
Zn: 0.0000 0.0000 0.0000  6 Pd 2.56-2.75
Pd: 0.0828 0.7029 0.1316  2 Pd 2.74-2.79, 1 Zn 2.75, 2 Y 3.05
Pd: 0.3693 0.5169 0.7445  2 Pd 2.65-2.74, 4 Y 2.79-2.91
Pd: 0.5000 0.0000 0.0000  2 Zn 2.56, 2 Y 2.80, 2 Pd 2.85
Pd: 0.6307 0.4831 0.2555  2 Pd 2.65-2.74, 4 Y 2.79-2.91
Pd: 0.9172 0.2971 0.8684  2 Pd 2.74-2.79, 1 Zn 2.75, 2 Y 3.05
Pd: 0.7961 0.9112 0.4966  1 Zn 2.73, 4 Pd 2.79-3.03, 4 Y 2.82-2.86
Pd: 0.2039 0.0888 0.5034  1 Zn 2.73, 4 Pd 2.79-3.03, 4 Y 2.82-2.86
Y: 0.7906 0.6360 0.7828  5 Pd 2.79-3.09
Y: 0.2094 0.3640 0.2172  5 Pd 2.79-3.09
Y: 0.5934 0.2124 0.6009  8 Pd 2.80-3.05
Y: 0.4066 0.7876 0.3991  8 Pd 2.80-3.05

***

Entry 4:
VBi2Pb | PBE | optimized geometry

## Properties
Formation enthalpy at 0 K ... 48 kJ/mol of atoms
Total moment ... 1.59 μB/f.u.
Theoretical density ... 7.436 g/cm³
Calculated total energy ... -4.648 eV/atom
Fermi-level density of states ... 7.9 states/eV per cell

Lattice parameters (Å, degrees): 6.5419 6.5419 8.4368 67.19 67.19 90.00
Closest atoms and distances in Å follow each position.
Element x y z (fractional)
Bi: 0.5634 0.1250 0.2500  2 V 2.70
Bi: 0.1866 0.6250 0.2500  2 V 2.70
Bi: 0.8750 0.8134 0.7500  2 V 2.70
Bi: 0.3750 0.4366 0.7500  2 V 2.70
V: 0.5000 0.5000 0.0000  4 Bi 2.70
V: 0.2500 0.7500 0.5000  4 Bi 2.70
Pb: 0.0000 0.0000 0.0000  4 Bi 3.15
Pb: 0.7500 0.2500 0.5000  4 Bi 3.15

***

- Which of these has the highest theoretical density?
  Y4ZnPd7